[1]
Density functional theory data (PBE) for an optimized crystal structure of YTi2O4.

Cell lengths 6.298, 6.298, 6.298 Å; angles 122.05, 117.73, 90.23 degrees
Sites, in units of the cell vectors:
Y (0.000, 0.000, 0.000)
Y (0.500, 0.000, 0.500)
Ti (0.000, 0.000, 0.500)
Ti (0.000, 0.500, 0.000)
Ti (0.377, 0.627, 0.750)
Ti (0.623, 0.373, 0.250)
O (0.232, 0.739, 0.494)
O (0.241, 0.255, 0.514)
O (0.241, 0.728, 0.986)
O (0.255, 0.261, 0.994)
O (0.745, 0.739, 0.006)
O (0.759, 0.272, 0.014)
O (0.759, 0.745, 0.486)
O (0.768, 0.261, 0.506)

Summary:
Space group ... Imma (74)
Size of the total moment ... 0.6 μB/f.u.
Crystal system ... orthorhombic
E_form (uncorrected) ... -2.780 eV per atom
Energy above the lowest structure with this stoichiometry ... 47 kJ/mol of formula units

[2]
Density functional theory data (PBE) for an optimized crystal structure of ErUTe3.

Cell lengths 7.408, 7.408, 10.667 Å; angles 90.00, 90.00, 146.92 degrees
Sites, in units of the cell vectors:
Er (0.000, 0.000, 0.000)
Er (0.000, 0.000, 0.500)
U (0.247, 0.753, 0.750)
U (0.753, 0.247, 0.250)
Te (0.092, 0.908, 0.250)
Te (0.352, 0.648, 0.064)
Te (0.352, 0.648, 0.436)
Te (0.648, 0.352, 0.564)
Te (0.648, 0.352, 0.936)
Te (0.908, 0.092, 0.750)

Summary:
Space group ... Cmcm (63)
Size of the total moment ... 2.9 μB/f.u.
Crystal system ... orthorhombic
E_form (uncorrected) ... -0.959 eV per atom

[3]
Density functional theory data (PBE) for an optimized crystal structure of LiMnP2Cl.

Cell lengths 4.184, 4.184, 6.689 Å; angles 90.00, 90.00, 90.00 degrees
Sites, in units of the cell vectors:
Li (0.000, 0.000, 0.000)
Mn (0.500, 0.500, 0.500)
P (0.000, 0.500, 0.500)
P (0.500, 0.000, 0.500)
Cl (0.500, 0.500, 0.000)

Summary:
Space group ... P4/mmm (123)
Size of the total moment ... 1.2 μB/f.u.
Crystal system ... tetragonal
E_form (uncorrected) ... -0.164 eV per atom
Energy above the lowest structure with this stoichiometry ... 0 kJ/mol of formula units